The following is a DFT calculation (PBE) of an optimized crystal structure of TlW.

```
TlW
1.0
-0.356 -0.311 -5.115
-3.038 -1.178 -3.971
-2.366 1.781 -4.198
Tl W
1 1
Direct
0.000 0.000 0.000
0.500 0.500 0.500
```

Results
- Symmetry: No. 166
- Formation enthalpy at 0 K: 1.13 eV/atom
- ΔE to the lowest computed polymorph: 0.5051 eV per atom
- Calculated volume: 19.35 A^3/atom